1.
Density functional theory data (PBEsol) for Tl3Cd after structural relaxation.

```
data_Tl3Cd
_cell_length_a 3.583
_cell_length_b 10.918
_cell_length_c 5.447
_cell_angle_alpha 90.00
_cell_angle_beta 90.00
_cell_angle_gamma 90.00
_space_group_name_H-M_alt 'I m m 2'
_space_group_IT_number 44
loop_
_space_group_symop_operation_xyz
'x,y,z'
'-x,-y,z'
'-x,y,z'
'x,-y,z'
'x+1/2,y+1/2,z+1/2'
'-x+1/2,-y+1/2,z+1/2'
'-x+1/2,y+1/2,z+1/2'
'x+1/2,-y+1/2,z+1/2'
loop_
_atom_site_label
_atom_site_fract_x
_atom_site_fract_y
_atom_site_fract_z
Tl1 0.000 0.000 0.000
Tl2 0.000 0.238 0.566
Cd1 0.000 0.500 0.991
```

Summary:
energy of formation from the pure elements	0.05	eV/atom


2.
Density functional theory data (PBEsol) for CeIn2Rh after structural relaxation.

```
data_CeIn2Rh
_cell_length_a 4.580
_cell_length_b 9.873
_cell_length_c 7.590
_cell_angle_alpha 90.00
_cell_angle_beta 90.00
_cell_angle_gamma 90.00
_space_group_name_H-M_alt 'C m c m'
_space_group_IT_number 63
_space_group_name_Hall '-C 2c 2'
loop_
_atom_site_label
_atom_site_fract_x
_atom_site_fract_y
_atom_site_fract_z
Ce1 0.000 0.067 0.250
In1 0.000 0.356 0.047
Rh1 0.000 0.188 0.750
```

Summary:
energy of formation from the pure elements	-0.57	eV/atom


3.
Density functional theory data (PBEsol) for Ag5Te2Cl after structural relaxation.

```
data_Ag5Te2Cl
_cell_length_a 7.530
_cell_length_b 13.641
_cell_length_c 13.632
_cell_angle_alpha 90.00
_cell_angle_beta 90.00
_cell_angle_gamma 90.00
_space_group_name_H-M_alt 'P n m a'
_space_group_IT_number 62
loop_
_space_group_symop_operation_xyz
'x,y,z'
'-x,-y,-z'
'-x+1/2,-y,z+1/2'
'x+1/2,y,-z+1/2'
'x+1/2,-y+1/2,-z+1/2'
'-x+1/2,y+1/2,z+1/2'
'-x,y+1/2,-z'
'x,-y+1/2,z'
loop_
_atom_site_label
_atom_site_fract_x
_atom_site_fract_y
_atom_site_fract_z
Ag1 0.018 0.140 0.113
Ag2 0.067 0.250 0.932
Ag3 0.110 0.569 0.079
Ag4 0.133 0.112 0.433
Ag5 0.143 0.750 0.611
Ag6 0.231 0.645 0.289
Te1 0.204 0.250 0.620
Te2 0.208 0.586 0.485
Te3 0.248 0.250 0.305
Cl1 0.007 0.003 0.750
```

Summary:
formation energy (no corrections)	-1.11	eV per formula unit


4.
Density functional theory data (PBEsol) for ZnAgPO4 after structural relaxation.

```
data_ZnAgPO4
_cell_length_a 8.261
_cell_length_b 9.991
_cell_length_c 10.171
_cell_angle_alpha 118.79
_cell_angle_beta 90.06
_cell_angle_gamma 91.11
_space_group_name_H-M_alt 'P 1'
_space_group_IT_number 1
loop_
_space_group_symop_operation_xyz
'x,y,z'
loop_
_atom_site_label
_atom_site_fract_x
_atom_site_fract_y
_atom_site_fract_z
Zn1 0.000 0.000 0.000
Zn2 0.000 0.469 0.511
Zn3 0.481 0.670 0.871
Zn4 0.491 0.163 0.861
Zn5 0.504 0.619 0.360
Zn6 0.507 0.125 0.372
Zn7 0.989 0.956 0.504
Zn8 0.997 0.496 0.004
Ag1 0.292 0.334 0.674
Ag2 0.305 0.818 0.672
Ag3 0.321 0.795 0.188
Ag4 0.325 0.291 0.197
Ag5 0.809 0.794 0.707
Ag6 0.813 0.297 0.699
Ag7 0.815 0.336 0.185
Ag8 0.818 0.835 0.170
P1 0.108 0.172 0.836
P2 0.109 0.673 0.840
P3 0.120 0.120 0.340
P4 0.120 0.625 0.338
P5 0.607 0.948 0.533
P6 0.611 0.466 0.544
P7 0.614 0.003 0.032
P8 0.618 0.495 0.029
O1 0.014 0.291 0.973
O2 0.025 0.147 0.689
O3 0.080 0.519 0.839
O4 0.101 0.637 0.193
O5 0.109 0.124 0.190
O6 0.113 0.021 0.843
O7 0.116 0.286 0.471
O8 0.126 0.637 0.673
O9 0.126 0.789 0.472
O10 0.265 0.757 0.926
O11 0.279 0.545 0.340
O12 0.282 0.051 0.354
O13 0.282 0.235 0.838
O14 0.481 0.104 0.018
O15 0.481 0.590 0.014
O16 0.503 0.489 0.678
O17 0.508 0.971 0.673
O18 0.523 0.824 0.388
O19 0.547 0.327 0.399
O20 0.587 0.983 0.172
O21 0.589 0.472 0.167
O22 0.610 0.610 0.525
O23 0.613 0.841 0.893
O24 0.618 0.099 0.525
O25 0.630 0.334 0.890
O26 0.778 0.897 0.549
O27 0.781 0.082 0.040
O28 0.781 0.582 0.044
O29 0.788 0.443 0.582
O30 0.963 0.779 0.912
O31 0.978 0.528 0.354
O32 0.980 0.019 0.349
```

Summary:
energy above the most stable polymorph in this dataset	0.020	eV per atom
formation energy (no corrections)	-11.09	eV per formula unit


5.
Density functional theory data (PBEsol) for BaSeIBr2 after structural relaxation.

```
data_BaSeIBr2
_cell_length_a 5.699
_cell_length_b 5.699
_cell_length_c 5.648
_cell_angle_alpha 90.00
_cell_angle_beta 90.00
_cell_angle_gamma 90.00
_space_group_name_H-M_alt 'P 4/m m m'
_space_group_IT_number 123
_space_group_name_Hall '-P 4 2'
loop_
_atom_site_label
_atom_site_fract_x
_atom_site_fract_y
_atom_site_fract_z
Ba1 0.000 0.000 0.000
Se1 0.500 0.500 0.000
I1 0.500 0.500 0.500
Br1 0.000 0.500 0.500
```

Summary:
formation energy (no corrections)	-3.22	eV per formula unit


6.
Density functional theory data (PBEsol) for FeTe2Pb after structural relaxation.

```
data_FeTe2Pb
_cell_length_a 3.617
_cell_length_b 5.119
_cell_length_c 5.266
_cell_angle_alpha 90.00
_cell_angle_beta 90.00
_cell_angle_gamma 90.00
_space_group_name_H-M_alt 'P m m m'
_space_group_IT_number 47
loop_
_space_group_symop_operation_xyz
'x,y,z'
'-x,-y,-z'
'-x,-y,z'
'x,y,-z'
'x,-y,-z'
'-x,y,z'
'-x,y,-z'
'x,-y,z'
loop_
_atom_site_label
_atom_site_fract_x
_atom_site_fract_y
_atom_site_fract_z
Fe1 0.000 0.000 0.000
Te1 0.000 0.500 0.500
Te2 0.500 0.500 0.000
Pb1 0.500 0.000 0.500
```

Summary:
formation energy (no corrections)	2.40	eV per formula unit


7.
Density functional theory data (PBEsol) for Na5CuCO5 after structural relaxation.

```
data_Na5CuCO5
_cell_length_a 4.420
_cell_length_b 8.397
_cell_length_c 4.806
_cell_angle_alpha 90.00
_cell_angle_beta 90.00
_cell_angle_gamma 90.00
_space_group_name_H-M_alt 'P m m 2'
_space_group_IT_number 25
loop_
_space_group_symop_operation_xyz
'x,y,z'
'-x,-y,z'
'-x,y,z'
'x,-y,z'
loop_
_atom_site_label
_atom_site_fract_x
_atom_site_fract_y
_atom_site_fract_z
Na1 0.000 0.000 0.000
Na2 0.000 0.275 0.538
Na3 0.500 0.255 0.032
Cu1 0.000 0.500 0.040
C1 0.500 0.000 0.463
O1 0.000 0.287 0.041
O2 0.500 0.000 0.193
O3 0.500 0.135 0.595
```

Summary:
formation energy (no corrections)	-16.74	eV per formula unit


8.
Density functional theory data (PBEsol) for BaScIn2 after structural relaxation.

```
data_BaScIn2
_cell_length_a 4.984
_cell_length_b 4.984
_cell_length_c 4.612
_cell_angle_alpha 90.00
_cell_angle_beta 90.00
_cell_angle_gamma 90.00
_space_group_name_H-M_alt 'P 4/m m m'
_space_group_IT_number 123
_space_group_name_Hall '-P 4 2'
loop_
_atom_site_label
_atom_site_fract_x
_atom_site_fract_y
_atom_site_fract_z
Ba1 0.000 0.000 0.000
Sc1 0.500 0.500 0.000
In1 0.000 0.500 0.500
```

Summary:
energy of formation from the pure elements	-0.17	eV/atom


9.
Density functional theory data (PBEsol) for Pm3Tm after structural relaxation.

```
data_Pm3Tm
_cell_length_a 7.1396
_cell_length_b 7.1396
_cell_length_c 5.6884
_cell_angle_alpha 90.00
_cell_angle_beta 90.00
_cell_angle_gamma 120.00
_space_group_name_H-M_alt 'P 63/m m c'
_space_group_IT_number 194
_space_group_name_Hall '-P 6c 2c'
loop_
_atom_site_label
_atom_site_fract_x
_atom_site_fract_y
_atom_site_fract_z
Pm1 0.1672 0.3345 0.2500
Tm1 0.3333 0.6667 0.7500
```

Summary:
energy of formation from the pure elements	0.02	eV/atom
energy above the most stable polymorph in this dataset	0.014	eV per atom


10.
Density functional theory data (PBEsol) for BeCo4Rh after structural relaxation.

```
data_BeCo4Rh
_cell_length_a 6.447
_cell_length_b 6.447
_cell_length_c 6.447
_cell_angle_alpha 90.00
_cell_angle_beta 90.00
_cell_angle_gamma 90.00
_space_group_name_H-M_alt 'F -4 3 m'
_space_group_IT_number 216
_space_group_name_Hall 'F -4 2 3'
loop_
_atom_site_label
_atom_site_fract_x
_atom_site_fract_y
_atom_site_fract_z
Be1 0.000 0.000 0.000
Co1 0.126 0.126 0.626
Rh1 0.250 0.250 0.250
```

Summary:
energy of formation from the pure elements	0.18	eV/atom


11.
Density functional theory data (PBEsol) for ReRu2Br after structural relaxation.

```
data_ReRu2Br
_cell_length_a 2.8294
_cell_length_b 2.8294
_cell_length_c 25.6213
_cell_angle_alpha 90.00
_cell_angle_beta 90.00
_cell_angle_gamma 120.00
_space_group_name_H-M_alt 'R -3 m'
_space_group_IT_number 166
_space_group_name_Hall '-R 3 2"'
loop_
_atom_site_label
_atom_site_fract_x
_atom_site_fract_y
_atom_site_fract_z
Re1 0.0000 0.0000 0.0000
Ru1 0.0000 0.0000 0.2521
Br1 0.0000 0.0000 0.5000
```

Summary:
energy above the most stable polymorph in this dataset	0.000	eV per atom
formation energy (no corrections)	1.87	eV per formula unit


12.
Density functional theory data (PBEsol) for LaAlAs2 after structural relaxation.

```
data_LaAlAs2
_cell_length_a 4.506
_cell_length_b 4.506
_cell_length_c 8.447
_cell_angle_alpha 90.00
_cell_angle_beta 90.00
_cell_angle_gamma 90.00
_space_group_name_H-M_alt 'I 4/m m m'
_space_group_IT_number 139
_space_group_name_Hall '-I 4 2'
loop_
_atom_site_label
_atom_site_fract_x
_atom_site_fract_y
_atom_site_fract_z
La1 0.000 0.000 0.000
Al1 0.000 0.000 0.500
As1 0.000 0.500 0.250
```

Summary:
energy of formation from the pure elements	-0.55	eV/atom


13.
Density functional theory data (PBEsol) for ReNiTe2I after structural relaxation.

```
data_ReNiTe2I
_cell_length_a 4.975
_cell_length_b 4.975
_cell_length_c 4.920
_cell_angle_alpha 90.00
_cell_angle_beta 90.00
_cell_angle_gamma 90.00
_space_group_name_H-M_alt 'P 4/m m m'
_space_group_IT_number 123
_space_group_name_Hall '-P 4 2'
loop_
_atom_site_label
_atom_site_fract_x
_atom_site_fract_y
_atom_site_fract_z
Re1 0.000 0.000 0.000
Ni1 0.500 0.500 0.500
Te1 0.000 0.500 0.500
I1 0.500 0.500 0.000
```

Summary:
formation energy (no corrections)	6.65	eV per formula unit


14.
Density functional theory data (PBEsol) for ZrSc2Cd after structural relaxation.

```
data_ZrSc2Cd
_cell_length_a 3.458
_cell_length_b 4.978
_cell_length_c 10.181
_cell_angle_alpha 90.00
_cell_angle_beta 90.00
_cell_angle_gamma 90.00
_space_group_name_H-M_alt 'I m m m'
_space_group_IT_number 71
_space_group_name_Hall '-I 2 2'
loop_
_atom_site_label
_atom_site_fract_x
_atom_site_fract_y
_atom_site_fract_z
Zr1 0.000 0.000 0.000
Sc1 0.000 0.500 0.233
Cd1 0.000 0.000 0.500
```

Summary:
energy of formation from the pure elements	-0.07	eV/atom
energy above the most stable polymorph in this dataset	0.119	eV per atom


15.
Density functional theory data (PBEsol) for Cd2HgPb after structural relaxation.

```
data_Cd2HgPb
_cell_length_a 10.159
_cell_length_b 3.431
_cell_length_c 5.646
_cell_angle_alpha 90.00
_cell_angle_beta 104.05
_cell_angle_gamma 90.00
_space_group_name_H-M_alt 'C 1 m 1'
_space_group_IT_number 8
loop_
_space_group_symop_operation_xyz
'x,y,z'
'x,-y,z'
'x+1/2,y+1/2,z'
'x+1/2,-y+1/2,z'
loop_
_atom_site_label
_atom_site_fract_x
_atom_site_fract_y
_atom_site_fract_z
Cd1 0.000 0.000 0.000
Cd2 0.240 0.500 0.227
Hg1 0.482 0.000 0.455
Pb1 0.243 0.000 0.730
```

Summary:
energy of formation from the pure elements	0.05	eV/atom
energy above the most stable polymorph in this dataset	0.013	eV per atom


16.
Density functional theory data (PBEsol) for KMg2Si2 after structural relaxation.

```
data_KMg2Si2
_cell_length_a 4.596
_cell_length_b 4.596
_cell_length_c 10.885
_cell_angle_alpha 90.00
_cell_angle_beta 90.00
_cell_angle_gamma 90.00
_space_group_name_H-M_alt 'I 4/m m m'
_space_group_IT_number 139
_space_group_name_Hall '-I 4 2'
loop_
_atom_site_label
_atom_site_fract_x
_atom_site_fract_y
_atom_site_fract_z
K1 0.000 0.000 0.000
Mg1 0.000 0.500 0.250
Si1 0.000 0.000 0.392
```

Summary:
formation energy (no corrections)	-0.37	eV per formula unit


17.
Density functional theory data (PBEsol) for AsPRh2 after structural relaxation.

```
data_AsPRh2
_cell_length_a 7.758
_cell_length_b 3.216
_cell_length_c 5.013
_cell_angle_alpha 90.00
_cell_angle_beta 101.78
_cell_angle_gamma 90.00
_space_group_name_H-M_alt 'C 1 m 1'
_space_group_IT_number 8
loop_
_space_group_symop_operation_xyz
'x,y,z'
'x,-y,z'
'x+1/2,y+1/2,z'
'x+1/2,-y+1/2,z'
loop_
_atom_site_label
_atom_site_fract_x
_atom_site_fract_y
_atom_site_fract_z
As1 0.000 0.000 0.000
P1 0.216 0.000 0.549
Rh1 0.013 0.500 0.597
Rh2 0.239 0.500 0.228
```

Summary:
energy of formation from the pure elements	-0.42	eV/atom
energy above the most stable polymorph in this dataset	0.000	eV per atom


18.
Density functional theory data (PBEsol) for KHgW2 after structural relaxation.

```
data_KHgW2
_cell_length_a 2.697
_cell_length_b 4.020
_cell_length_c 8.257
_cell_angle_alpha 90.00
_cell_angle_beta 90.00
_cell_angle_gamma 90.00
_space_group_name_H-M_alt 'P m m 2'
_space_group_IT_number 25
loop_
_space_group_symop_operation_xyz
'x,y,z'
'-x,-y,z'
'-x,y,z'
'x,-y,z'
loop_
_atom_site_label
_atom_site_fract_x
_atom_site_fract_y
_atom_site_fract_z
K1 0.000 0.000 0.000
Hg1 0.500 0.500 0.695
W1 0.000 0.000 0.483
W2 0.500 0.500 0.328
```

Summary:
energy of formation from the pure elements	0.86	eV/atom


19.
Density functional theory data (PBEsol) for SmMnSi2 after structural relaxation.

```
data_SmMnSi2
_cell_length_a 3.959
_cell_length_b 17.285
_cell_length_c 3.934
_cell_angle_alpha 90.00
_cell_angle_beta 90.00
_cell_angle_gamma 90.00
_space_group_name_H-M_alt 'C m c m'
_space_group_IT_number 63
_space_group_name_Hall '-C 2c 2'
loop_
_atom_site_label
_atom_site_fract_x
_atom_site_fract_y
_atom_site_fract_z
Sm1 0.000 0.102 0.250
Mn1 0.000 0.250 0.750
Si1 0.000 0.323 0.250
Si2 0.000 0.464 0.250
```

Summary:
formation energy (no corrections)	-2.67	eV per formula unit


20.
Density functional theory data (PBEsol) for Sc2AsSe after structural relaxation.

```
data_Sc2AsSe
_cell_length_a 3.8193
_cell_length_b 3.8193
_cell_length_c 18.8130
_cell_angle_alpha 90.00
_cell_angle_beta 90.00
_cell_angle_gamma 120.00
_space_group_name_H-M_alt 'R -3 m'
_space_group_IT_number 166
_space_group_name_Hall '-R 3 2"'
loop_
_atom_site_label
_atom_site_fract_x
_atom_site_fract_y
_atom_site_fract_z
Sc1 0.0000 0.0000 0.2461
As1 0.0000 0.0000 0.5000
Se1 0.0000 0.0000 0.0000
```

Summary:
energy above the most stable polymorph in this dataset	0.000	eV per atom
formation energy (no corrections)	-6.39	eV per formula unit


| no. | calculated density (g cm⁻³) | E (eV/atom) |
| --- | --- | --- |
| 1 | 11.3 | -2.2267 |
| 2 | 9.1 | -5.7476 |
| 3 | 7.9 | -3.3404 |
| 4 | 4.8 | -6.1105 |
| 5 | 4.6 | -2.9452 |
| 6 | 8.8 | -4.4033 |
| 7 | 2.5 | -5.3301 |
| 8 | 6.0 | -3.8458 |
| 9 | 8.0 | -5.0537 |
| 10 | 8.6 | -7.0022 |
| 11 | 13.1 | -8.4186 |
| 12 | 6.1 | -5.4597 |
| 13 | 8.5 | -4.3321 |
| 14 | 5.6 | -5.9422 |
| 15 | 11.0 | -1.6945 |
| 16 | 2.1 | -3.2854 |
| 17 | 8.5 | -7.2127 |
| 18 | 11.3 | -6.4667 |
| 19 | 6.4 | -7.2533 |
| 20 | 5.1 | -7.1380 |